# PBE SrFeCuTc, relaxed
# Total magnetic moment (μB per formula unit): 4.349
# Raw total energy (eV/atom): -4.95
# E above lowest polymorph (meV per atom): 256.7
data_SrFeCuTc
_chemical_formula_sum 'Sr4 Fe4 Cu4 Tc4'
_cell_length_a 6.538
_cell_length_b 6.538
_cell_length_c 6.538
_cell_angle_alpha 90.00
_cell_angle_beta 90.00
_cell_angle_gamma 90.00
_symmetry_space_group_name_H-M 'F -4 3 m'
_symmetry_Int_Tables_number 216
_symmetry_space_group_name_Hall 'F -4 2 3'
loop_
_atom_site_label
_atom_site_type_symbol
_atom_site_fract_x
_atom_site_fract_y
_atom_site_fract_z
Sr1 Sr 0.000 0.000 0.000
Fe1 Fe 0.250 0.250 0.250
Cu1 Cu 0.000 0.000 0.500
Tc1 Tc 0.250 0.250 0.750


# PBE SrFeCuTc, relaxed
# Total magnetic moment (μB per formula unit): 3.841
# Raw total energy (eV/atom): -5.16
# E above lowest polymorph (meV per atom): 53.2
data_SrFeCuTc
_chemical_formula_sum 'Sr4 Fe4 Cu4 Tc4'
_cell_length_a 6.521
_cell_length_b 6.521
_cell_length_c 6.521
_cell_angle_alpha 90.00
_cell_angle_beta 90.00
_cell_angle_gamma 90.00
_symmetry_space_group_name_H-M 'F -4 3 m'
_symmetry_Int_Tables_number 216
_symmetry_space_group_name_Hall 'F -4 2 3'
loop_
_atom_site_label
_atom_site_type_symbol
_atom_site_fract_x
_atom_site_fract_y
_atom_site_fract_z
Sr1 Sr 0.000 0.000 0.000
Fe1 Fe 0.000 0.000 0.500
Cu1 Cu 0.250 0.250 0.250
Tc1 Tc 0.250 0.250 0.750


# PBE TaFe2Cu, relaxed
# Total magnetic moment (μB per formula unit): 4.018
# Raw total energy (eV/atom): -7.94
data_TaFe2Cu
_chemical_formula_sum 'Ta4 Fe8 Cu4'
_cell_length_a 5.953
_cell_length_b 5.953
_cell_length_c 5.953
_cell_angle_alpha 90.00
_cell_angle_beta 90.00
_cell_angle_gamma 90.00
_symmetry_space_group_name_H-M 'F -4 3 m'
_symmetry_Int_Tables_number 216
_symmetry_space_group_name_Hall 'F -4 2 3'
loop_
_atom_site_label
_atom_site_type_symbol
_atom_site_fract_x
_atom_site_fract_y
_atom_site_fract_z
Ta1 Ta 0.000 0.000 0.000
Fe1 Fe 0.000 0.000 0.500
Fe2 Fe 0.250 0.250 0.250
Cu1 Cu 0.250 0.250 0.750